[1]
# Ba2GdCu4O8, relaxed, DFT PBE
data_Ba2GdCu4O8
_chemical_formula_sum 'Ba4 Gd2 Cu8 O16'
_symmetry_space_group_name_H-M 'C m m m'
_symmetry_Int_Tables_number 65
_symmetry_space_group_name_Hall '-C 2 2'
_cell_length_a 3.905
_cell_length_b 27.607
_cell_length_c 3.898
_cell_angle_alpha 90.00
_cell_angle_beta 90.00
_cell_angle_gamma 90.00
loop_
_atom_site_label
_atom_site_type_symbol
_atom_site_fract_x
_atom_site_fract_y
_atom_site_fract_z
_atom_site_occupancy
Ba1 Ba 0.000 0.137 0.000 1
Gd1 Gd 0.000 0.000 0.000 1
Cu1 Cu 0.000 0.287 0.500 1
Cu2 Cu 0.000 0.437 0.500 1
O1 O 0.000 0.053 0.500 1
O2 O 0.000 0.218 0.500 1
O3 O 0.000 0.354 0.500 1
O4 O 0.000 0.447 0.000 1
# Total energy, eV for the cell shown: -197.870
# Mass density, g/cm3: 6.4



[2]
# BaGdCuS3, relaxed, DFT PBE
data_BaGdCuS3
_chemical_formula_sum 'Ba4 Gd4 Cu4 S12'
_symmetry_space_group_name_H-M 'C m c m'
_symmetry_Int_Tables_number 63
_symmetry_space_group_name_Hall '-C 2c 2'
_cell_length_a 4.055
_cell_length_b 13.606
_cell_length_c 10.373
_cell_angle_alpha 90.00
_cell_angle_beta 90.00
_cell_angle_gamma 90.00
loop_
_atom_site_label
_atom_site_type_symbol
_atom_site_fract_x
_atom_site_fract_y
_atom_site_fract_z
_atom_site_occupancy
Ba1 Ba 0.000 0.245 0.250 1
Gd1 Gd 0.000 0.500 0.000 1
Cu1 Cu 0.000 0.031 0.750 1
S1 S 0.000 0.131 0.567 1
S2 S 0.000 0.434 0.750 1
# Total energy, eV for the cell shown: -170.992
# Mass density, g/cm3: 5.3



[3]
# BaGdCuSe3, relaxed, DFT PBE
data_BaGdCuSe3
_chemical_formula_sum 'Ba2 Gd2 Cu2 Se6'
_symmetry_space_group_name_H-M 'P 1 21/m 1'
_symmetry_Int_Tables_number 11
_cell_length_a 4.215
_cell_length_b 10.796
_cell_length_c 7.371
_cell_angle_alpha 90.00
_cell_angle_beta 106.60
_cell_angle_gamma 90.00
loop_
_symmetry_equiv_pos_as_xyz
'x,y,z'
'-x,-y,-z'
'-x,y+1/2,-z'
'x,-y+1/2,z'
loop_
_atom_site_label
_atom_site_type_symbol
_atom_site_fract_x
_atom_site_fract_y
_atom_site_fract_z
_atom_site_occupancy
Ba1 Ba 0.248 0.250 0.494 1
Gd1 Gd 0.500 0.000 0.000 1
Cu1 Cu 0.030 0.750 0.063 1
Se1 Se 0.134 0.565 0.268 1
Se2 Se 0.430 0.750 0.862 1
# Total energy, eV for the cell shown: -80.233
# Mass density, g/cm3: 6.1



[4]
# Ba2Cu3Ge5, relaxed, DFT PBE
data_Ba2Cu3Ge5
_chemical_formula_sum 'Ba8 Cu12 Ge20'
_symmetry_space_group_name_H-M 'I b a m'
_symmetry_Int_Tables_number 72
_symmetry_space_group_name_Hall '-I 2 2c'
_cell_length_a 10.499
_cell_length_b 12.679
_cell_length_c 6.328
_cell_angle_alpha 90.00
_cell_angle_beta 90.00
_cell_angle_gamma 90.00
loop_
_atom_site_label
_atom_site_type_symbol
_atom_site_fract_x
_atom_site_fract_y
_atom_site_fract_z
_atom_site_occupancy
Ba1 Ba 0.249 0.125 0.000 1
Cu1 Cu 0.000 0.500 0.250 1
Cu2 Cu 0.120 0.127 0.500 1
Ge1 Ge 0.000 0.000 0.250 1
Ge2 Ge 0.000 0.251 0.250 1
Ge3 Ge 0.131 0.383 0.000 1
# Mass density, g/cm3: 6.5
# DFT formation energy, eV/f.u.: -3.2